Here is crystalline Ba2AlIn at its relaxed geometry from Alexandria. Energies are from PBE-GGA.

```
Ba2AlIn
1.0
5.860 0.000 0.000
2.930 5.075 0.000
2.930 1.692 4.785
Al Ba In
1 2 1
direct
0.500 0.500 0.500 Al
0.000 0.000 0.000 Ba
0.250 0.250 0.250 Ba
0.750 0.750 0.750 In
```

The distance to the lowest polymorph of the same formula is 283 meV/atom. The volume is 35.58 A^3/atom. As for the symmetry: F-43m (216). As for the formation energy from the elements: 0.038 eV/atom.



Here is crystalline BaAl2In at its relaxed geometry from Alexandria. Energies are from PBE-GGA.

```
BaAl2In
1.0
-0.241 3.030 -2.379
-3.821 0.113 0.531
0.949 4.659 5.836
Al Ba In
2 1 1
direct
0.000 0.000 0.929 Al
0.000 0.000 0.571 Al
0.500 0.500 0.250 Ba
0.500 0.500 0.750 In
```

The volume is 28.04 A^3/atom. As for the symmetry: P4/mmm (123). As for the formation energy from the elements: -0.054 eV/atom.



Here is crystalline BaAl2In at its relaxed geometry from Alexandria. Energies are from PBE-GGA.

```
BaAl2In
1.0
-4.341 7.295 -6.767
-6.544 7.575 -4.202
-3.649 9.344 -4.153
Al Ba In
2 1 1
direct
0.009 0.009 0.009 Al
0.491 0.491 0.491 Al
0.250 0.250 0.250 Ba
0.750 0.750 0.750 In
```

The volume is 26.61 A^3/atom. As for the symmetry: R-3m (166). As for the formation energy from the elements: 0.280 eV/atom.



Here is crystalline Ba8AlIn2 at its relaxed geometry from Alexandria. Energies are from PBE-GGA.

```
Ba8AlIn2
1.0
-3.852 3.839 -2.348
3.661 -1.688 -8.765
-5.634 -7.528 4.406
Ba Al In
8 1 2
direct
0.657 0.880 0.314 Ba
0.343 0.566 0.686 Ba
0.141 0.141 0.283 Ba
0.000 0.316 0.000 Ba
0.859 0.859 0.717 Ba
0.657 0.434 0.314 Ba
0.343 0.120 0.686 Ba
0.000 0.684 0.000 Ba
0.500 0.000 0.000 Al
0.189 0.689 0.378 In
0.811 0.311 0.622 In
```

The volume is 45.23 A^3/atom. As for the symmetry: Immm (71). As for the formation energy from the elements: -0.128 eV/atom.



Here is crystalline Ba2Al7In at its relaxed geometry from Alexandria. Energies are from PBE-GGA.

```
Ba2Al7In
1.0
4.629 0.000 0.000
0.000 4.629 0.000
0.000 0.000 11.460
Ba Al In
2 7 1
direct
0.500 0.000 0.746 Ba
0.000 0.500 0.254 Ba
0.000 0.500 0.863 Al
0.500 0.000 0.372 Al
0.500 0.000 0.137 Al
0.000 0.500 0.628 Al
0.000 0.000 0.500 Al
0.000 0.000 0.000 Al
0.500 0.500 0.500 Al
0.500 0.500 0.000 In
```

The volume is 24.56 A^3/atom. As for the symmetry: P-4m2 (115). As for the formation energy from the elements: -0.243 eV/atom.



Here is crystalline BaAlIn3 at its relaxed geometry from Alexandria. Energies are from PBE-GGA.

```
BaAlIn3
1.0
-5.279 -0.721 1.113
-0.861 -1.613 -5.127
1.009 -5.149 1.451
Al Ba In
1 1 3
direct
0.000 0.000 0.000 Al
0.500 0.500 0.500 Ba
0.000 0.500 0.000 In
0.000 0.000 0.500 In
0.500 0.000 0.000 In
```

The distance to the lowest polymorph of the same formula is 268 meV/atom. The volume is 32.26 A^3/atom. As for the symmetry: Pm-3m (221). As for the formation energy from the elements: -0.048 eV/atom.



Here is crystalline Ba4AlIn3 at its relaxed geometry from Alexandria. Energies are from PBE-GGA.

```
Ba4AlIn3
1.0
4.655 0.000 0.000
0.000 5.066 0.000
0.000 0.000 13.703
In Ba Al
3 4 1
direct
0.000 0.500 0.565 In
0.000 0.000 0.434 In
0.500 0.000 0.940 In
0.500 0.500 0.350 Ba
0.000 0.500 0.857 Ba
0.000 0.000 0.145 Ba
0.500 0.000 0.647 Ba
0.500 0.500 0.061 Al
```

The volume is 40.39 A^3/atom. As for the symmetry: Pmm2 (25). As for the formation energy from the elements: -0.314 eV/atom.



Here is crystalline BaAl2In at its relaxed geometry from Alexandria. Energies are from PBE-GGA.

```
BaAl2In
1.0
4.712 -0.005 0.001
2.403 4.053 0.001
2.324 1.322 6.180
Al Ba In
2 1 1
direct
0.964 0.964 0.112 Al
0.536 0.536 0.388 Al
0.750 0.750 0.750 Ba
0.250 0.250 0.250 In
```

The volume is 29.52 A^3/atom. As for the symmetry: C2/m (12). As for the formation energy from the elements: -0.121 eV/atom.



Here is crystalline BaAlIn3 at its relaxed geometry from Alexandria. Energies are from PBE-GGA.

```
BaAlIn3
1.0
4.657 0.001 1.611
-0.553 4.621 1.614
0.228 0.252 6.892
Ba Al In
1 1 3
direct
0.401 0.204 0.904 Ba
0.023 0.826 0.660 Al
0.646 0.949 0.413 In
0.146 0.450 0.413 In
0.792 0.595 0.121 In
```

The distance to the lowest polymorph of the same formula is 0 meV/atom. The volume is 28.90 A^3/atom. As for the symmetry: Fmm2 (42). As for the formation energy from the elements: -0.316 eV/atom.



Here is crystalline Ba2AlIn2 at its relaxed geometry from Alexandria. Energies are from PBE-GGA.

```
Ba2AlIn2
1.0
-0.821 4.685 0.535
-5.396 1.957 -3.999
-6.824 0.186 9.314
Ba Al In
4 2 4
direct
0.653 0.352 0.342 Ba
0.924 0.267 0.886 Ba
0.347 0.648 0.658 Ba
0.076 0.733 0.114 Ba
0.637 0.059 0.666 Al
0.363 0.941 0.334 Al
0.124 0.194 0.557 In
0.635 0.848 0.883 In
0.876 0.806 0.443 In
0.365 0.152 0.117 In
```

The distance to the lowest polymorph of the same formula is 0 meV/atom. The volume is 35.43 A^3/atom. As for the symmetry: C2/m (12). As for the formation energy from the elements: -0.362 eV/atom.



Here is crystalline Ba2AlIn at its relaxed geometry from Alexandria. Energies are from PBE-GGA.

```
Ba2AlIn
1.0
6.831 -0.031 -0.009
3.047 6.114 0.009
-4.344 -4.009 3.424
Al Ba In
1 2 1
direct
0.292 0.792 0.500 Al
0.032 0.032 0.000 Ba
0.724 0.224 0.500 Ba
0.452 0.452 0.000 In
```

The distance to the lowest polymorph of the same formula is 0 meV/atom. The volume is 35.86 A^3/atom. As for the symmetry: Imm2 (44). As for the formation energy from the elements: -0.245 eV/atom.



Here is crystalline BaAlIn at its relaxed geometry from Alexandria. Energies are from PBE-GGA.

```
BaAlIn
1.0
-0.603 -5.556 -4.513
2.053 -6.516 -2.115
-2.433 -2.299 1.586
Al Ba In
1 1 1
direct
0.021 0.021 0.979 Al
0.337 0.337 0.663 Ba
0.642 0.642 0.358 In
```

The volume is 30.50 A^3/atom. As for the symmetry: Fmm2 (42). As for the formation energy from the elements: -0.121 eV/atom.



volume of number 11 (Ba2AlIn)? 35.86 A^3/atom